The following is a PBE calculation of a relaxed structure of TcTeO, from Alexandria.

## Properties
- E: -6.56 eV per atom

abc: 5.955 6.176 6.237
angles: 114.06 90.00 90.00
Atoms (fractional coordinates):
Te (0.881, 0.657, 0.368)
Te (0.619, 0.657, 0.868)
Tc (0.008, 0.816, 0.817)
Te (0.119, 0.343, 0.632)
O (0.881, 0.130, 0.852)
O (0.119, 0.870, 0.148)
Tc (0.508, 0.184, 0.683)
Tc (0.492, 0.816, 0.317)
O (0.619, 0.130, 0.352)
Tc (0.992, 0.184, 0.183)
Te (0.381, 0.343, 0.132)
O (0.381, 0.870, 0.648)